Here is NdAgMo2O8 after structural relaxation from the Alexandria database. Energies are from GGA+U.

Computed properties:
Energy (eV for the cell shown): -83.25

Structure (CIF):
```
data_NdAgMo2O8
_cell_length_a 6.1532
_cell_length_b 6.1532
_cell_length_c 6.7635
_cell_angle_alpha 90.00
_cell_angle_beta 90.00
_cell_angle_gamma 120.00
_symmetry_space_group_name_H-M 'P -3 m 1'
_symmetry_Int_Tables_number 164
_symmetry_space_group_name_Hall '-P 3 2"'
loop_
_atom_site_label
_atom_site_fract_x
_atom_site_fract_y
_atom_site_fract_z
_atom_site_occupancy
Nd1 0.0000 0.0000 0.0000 1
Ag1 0.0000 0.0000 0.5000 1
Mo1 0.3333 0.6667 0.3079 1
O1 0.1712 0.3424 0.2222 1
O2 0.3333 0.6667 0.5647 1
```